Record 1
4
Lattice="-6.455 -0.155 -5.776 -4.261 -0.611 -7.518 -5.449 -2.784 -6.132" Properties=species:S:1:pos:R:3 comment="RuRh2Se GGA-PBE optimized geometry" formation_energy_uncorrected_ev_per_atom=0.201 magnetic_moment_mub_per_fu=0.000 final_energy_ev_per_atom=-6.665 pbc="T T T"
Rh -0.024 -0.005 -0.029
Rh -8.059 -1.770 -9.684
Ru -4.041 -0.888 -4.856
Se -12.124 -2.663 -14.569

***

Record 2
4
Lattice="8.454 -0.019 -0.011 7.971 2.818 -0.011 7.971 1.358 2.469" Properties=species:S:1:pos:R:3 comment="RuRh2Se GGA-PBE optimized geometry" formation_energy_uncorrected_ev_per_atom=0.212 magnetic_moment_mub_per_fu=0.000 final_energy_ev_per_atom=-6.654 pbc="T T T"
Rh 0.096 0.016 0.010
Rh 6.057 1.032 0.607
Ru 12.106 2.062 1.214
Se 18.337 3.124 1.838

***

Record 3
4
Lattice="-0.616 4.264 -3.109 -1.662 -0.566 -5.015 -0.963 -0.690 5.180" Properties=species:S:1:pos:R:3 comment="RuRh2Se GGA-PBE optimized geometry" formation_energy_uncorrected_ev_per_atom=0.192 magnetic_moment_mub_per_fu=0.000 final_energy_ev_per_atom=-6.674 pbc="T T T"
Rh -0.064 0.103 -0.227
Rh -1.350 2.696 -0.962
Ru -1.074 1.743 -3.829
Se -1.893 0.315 -1.989

***

Record 4
4
Lattice="-0.283 3.749 -3.003 0.126 1.386 -4.606 -4.490 0.260 -1.528" Properties=species:S:1:pos:R:3 comment="RuRh2Se GGA-PBE optimized geometry" formation_energy_uncorrected_ev_per_atom=0.180 magnetic_moment_mub_per_fu=0.000 final_energy_ev_per_atom=-6.686 pbc="T T T"
Rh -4.349 0.335 -1.603
Rh -1.224 1.292 -2.216
Ru -2.188 2.581 -4.362
Se -3.702 4.145 -7.054

***

Record 5
4
Lattice="2.878 0.000 0.000 0.000 4.553 0.000 0.000 0.000 4.554" Properties=species:S:1:pos:R:3 comment="RuRh2Se GGA-PBE optimized geometry" formation_energy_uncorrected_ev_per_atom=0.293 magnetic_moment_mub_per_fu=1.030 final_energy_ev_per_atom=-6.573 pbc="T T T"
Rh 0.000 0.000 0.000
Rh 1.439 2.276 0.000
Ru 1.439 0.000 2.277
Se 0.000 2.276 2.277

***

Record 6
4
Lattice="0.000 3.154 3.154 3.154 0.000 3.154 3.154 3.154 0.000" Properties=species:S:1:pos:R:3 comment="RuRhSe2 GGA-PBE optimized geometry" polymorph_energy_kcal_per_mol_atoms=6.559 formation_energy_uncorrected_ev_per_atom=0.163 magnetic_moment_mub_per_fu=1.024 final_energy_ev_per_atom=-5.736 pbc="T T T"
Ru 0.000 0.000 0.000
Rh 3.154 3.154 3.154
Se 1.577 1.577 1.577
Se 4.731 4.731 4.731

***

Record 7
4
Lattice="-1.281 -0.230 3.694 3.926 -0.595 1.325 0.699 4.247 0.507" Properties=species:S:1:pos:R:3 comment="RuRhSe2 GGA-PBE optimized geometry" polymorph_energy_kcal_per_mol_atoms=9.883 formation_energy_uncorrected_ev_per_atom=0.307 magnetic_moment_mub_per_fu=0.000 final_energy_ev_per_atom=-5.592 pbc="T T T"
Rh 0.516 0.798 2.305
Ru 2.828 2.624 3.221
Se 3.787 -0.454 1.285
Se 2.452 1.685 0.955

***

Record 8
4
Lattice="4.632 0.006 0.000 1.147 4.488 0.000 -2.890 -2.247 2.839" Properties=species:S:1:pos:R:3 comment="RuRh2Se GGA-PBE optimized geometry" formation_energy_uncorrected_ev_per_atom=0.250 magnetic_moment_mub_per_fu=0.000 final_energy_ev_per_atom=-6.616 pbc="T T T"
Rh 0.000 0.000 0.000
Rh 0.574 2.244 1.420
Ru 2.890 2.247 0.000
Se 2.316 0.003 1.420

***

> Number 7 is which compound?

RuRhSe2